Density functional theory data (PBE) for an optimized crystal structure of MgZnFeHg. Values from VASP.

```
&SYSTEM
  ibrav = 0, nat = 4, ntyp = 4
/
ATOMIC_SPECIES
Mg 24.30 Mg.upf
Zn 65.41 Zn.upf
Fe 55.84 Fe.upf
Hg 200.59 Hg.upf
ATOMIC_POSITIONS crystal
Mg 0.0000 0.0000 0.0000
Zn 0.2500 0.2500 0.2500
Fe 0.5000 0.5000 0.5000
Hg 0.7500 0.7500 0.7500
CELL_PARAMETERS angstrom
0.0000 3.2245 3.2245
3.2245 0.0000 3.2245
3.2245 3.2245 0.0000
```

Calculated values
Space group: No. 216
Energy above the most stable polymorph in this dataset: 0 meV per atom

---

Density functional theory data (PBE) for an optimized crystal structure of GdErIn2Ir4. Values from VASP.

```
&SYSTEM
  ibrav = 0, nat = 8, ntyp = 4
/
ATOMIC_SPECIES
Gd 157.25 Gd.upf
Er 167.26 Er.upf
In 114.82 In.upf
Ir 192.22 Ir.upf
ATOMIC_POSITIONS crystal
Gd 0.0000 0.0000 0.0000
Er 0.6667 0.3333 0.5000
In 0.3333 0.6667 0.2506
In 0.3333 0.6667 0.7494
Ir 0.0000 0.0000 0.3575
Ir 0.0000 0.0000 0.6425
Ir 0.6667 0.3333 0.1479
Ir 0.6667 0.3333 0.8521
CELL_PARAMETERS angstrom
4.5667 0.0000 0.0000
-2.2833 3.9548 0.0000
0.0000 0.0000 8.9008
```

Calculated values
Total DFT energy (no corrections): -53.51 eV per formula unit
Space group: No. 187

---

Density functional theory data (PBE) for an optimized crystal structure of Li2Y2NiPdPb2. Values from VASP.

```
&SYSTEM
  ibrav = 0, nat = 8, ntyp = 5
/
ATOMIC_SPECIES
Li 6.94 Li.upf
Y 88.91 Y.upf
Ni 58.69 Ni.upf
Pd 106.42 Pd.upf
Pb 207.20 Pb.upf
ATOMIC_POSITIONS crystal
Li 0.0000 0.0000 0.0000
Li 0.5000 0.5000 0.5000
Y 0.0000 0.5000 0.2428
Y 0.5000 0.0000 0.7572
Ni 0.5000 0.5000 0.0000
Pd 0.0000 0.0000 0.5000
Pb 0.0000 0.5000 0.7566
Pb 0.5000 0.0000 0.2434
CELL_PARAMETERS angstrom
4.7543 0.0000 0.0000
0.0000 4.7543 0.0000
0.0000 0.0000 6.7489
```

Calculated values
Total DFT energy (no corrections): -39.14 eV per formula unit
Space group: No. 115

---

Density functional theory data (PBE) for an optimized crystal structure of GaAu10. Values from VASP.

```
&SYSTEM
  ibrav = 0, nat = 22, ntyp = 2
/
ATOMIC_SPECIES
Ga 69.72 Ga.upf
Au 196.97 Au.upf
ATOMIC_POSITIONS crystal
Ga 0.1554 0.1554 0.2265
Ga 0.8446 0.8446 0.7735
Au 0.0472 0.0472 0.6758
Au 0.0494 0.0494 0.4057
Au 0.1498 0.1498 0.4865
Au 0.1546 0.1546 0.7618
Au 0.2509 0.2509 0.5672
Au 0.2524 0.2524 0.3001
Au 0.3497 0.3497 0.6481
Au 0.3506 0.3506 0.3795
Au 0.4495 0.4495 0.4598
Au 0.4566 0.4566 0.7328
Au 0.5434 0.5434 0.2672
Au 0.5505 0.5505 0.5402
Au 0.6494 0.6494 0.6205
Au 0.6503 0.6503 0.3519
Au 0.7476 0.7476 0.6999
Au 0.7491 0.7491 0.4328
Au 0.8454 0.8454 0.2382
Au 0.8502 0.8502 0.5135
Au 0.9506 0.9506 0.5943
Au 0.9528 0.9528 0.3242
CELL_PARAMETERS angstrom
4.5240 -2.0405 0.0000
4.5240 2.0405 0.0000
-0.1980 0.0000 36.1060
```

Calculated values
Total DFT energy (no corrections): -35.37 eV per formula unit
Space group: No. 12

---

Density functional theory data (PBE) for an optimized crystal structure of DyThPd6. Values from VASP.

```
&SYSTEM
  ibrav = 0, nat = 8, ntyp = 3
/
ATOMIC_SPECIES
Dy 162.50 Dy.upf
Th 232.04 Th.upf
Pd 106.42 Pd.upf
ATOMIC_POSITIONS crystal
Dy 0.0000 0.0000 0.0000
Th 0.0000 0.0000 0.5000
Pd 0.0000 0.5000 0.2484
Pd 0.0000 0.5000 0.7516
Pd 0.5000 0.0000 0.2484
Pd 0.5000 0.0000 0.7516
Pd 0.5000 0.5000 0.0000
Pd 0.5000 0.5000 0.5000
CELL_PARAMETERS angstrom
4.1612 0.0000 0.0000
0.0000 4.1612 0.0000
0.0000 0.0000 8.2853
```

Calculated values
Formation energy from the elements: -0.966 eV/atom
Space group: No. 123

---

Density functional theory data (PBE) for an optimized crystal structure of AcPa2N4. Values from VASP.

```
&SYSTEM
  ibrav = 0, nat = 14, ntyp = 3
/
ATOMIC_SPECIES
Ac 227.00 Ac.upf
Pa 231.04 Pa.upf
N 14.01 N.upf
ATOMIC_POSITIONS crystal
Ac 0.1090 0.8910 0.7500
Ac 0.8910 0.1090 0.2500
Pa 0.3678 0.6322 0.5689
Pa 0.3678 0.6322 0.9311
Pa 0.6322 0.3678 0.0689
Pa 0.6322 0.3678 0.4311
N 0.0000 0.0000 0.0000
N 0.0000 0.0000 0.5000
N 0.2682 0.7318 0.0997
N 0.2682 0.7318 0.4003
N 0.4490 0.5510 0.7500
N 0.5510 0.4490 0.2500
N 0.7318 0.2682 0.5997
N 0.7318 0.2682 0.9003
CELL_PARAMETERS angstrom
1.7721 -5.8156 0.0000
1.7721 5.8156 0.0000
0.0000 0.0000 11.0958
```

Calculated values
Total DFT energy (no corrections): -67.22 eV per formula unit
Space group: No. 63

---

Density functional theory data (PBE) for an optimized crystal structure of HfSi4Ni6. Values from VASP.

```
&SYSTEM
  ibrav = 0, nat = 11, ntyp = 3
/
ATOMIC_SPECIES
Hf 178.49 Hf.upf
Si 28.09 Si.upf
Ni 58.69 Ni.upf
ATOMIC_POSITIONS crystal
Hf 0.0000 0.0000 0.0000
Si 0.3333 0.6667 0.0000
Si 0.3842 0.1921 0.5000
Si 0.8079 0.1921 0.5000
Si 0.8079 0.6158 0.5000
Ni 0.2011 0.4022 0.5000
Ni 0.2011 0.7989 0.5000
Ni 0.5348 0.0697 0.0000
Ni 0.5348 0.4652 0.0000
Ni 0.5978 0.7989 0.5000
Ni 0.9303 0.4652 0.0000
CELL_PARAMETERS angstrom
6.5699 0.0000 0.0000
-3.2850 5.6897 0.0000
0.0000 0.0000 3.5886
```

Calculated values
Total DFT energy (no corrections): -72.29 eV per formula unit
Space group: No. 187

---

Density functional theory data (PBE) for an optimized crystal structure of TbAgH2C2SO9. Values from VASP.

```
&SYSTEM
  ibrav = 0, nat = 32, ntyp = 6
/
ATOMIC_SPECIES
Tb 158.93 Tb.upf
Ag 107.87 Ag.upf
H 1.01 H.upf
C 12.01 C.upf
S 32.06 S.upf
O 16.00 O.upf
ATOMIC_POSITIONS crystal
Tb 0.2445 0.2445 0.2616
Tb 0.7555 0.7555 0.7384
Ag 0.0837 0.0837 0.6681
Ag 0.9163 0.9163 0.3319
H 0.3079 0.3079 0.9806
H 0.4202 0.4202 0.1457
H 0.5798 0.5798 0.8543
H 0.6921 0.6921 0.0194
C 0.0175 0.0175 0.9296
C 0.3902 0.6098 0.5000
C 0.6098 0.3902 0.5000
C 0.9825 0.9825 0.0704
S 0.3309 0.3309 0.7079
S 0.6691 0.6691 0.2921
O 0.0573 0.0573 0.2181
O 0.1196 0.1196 0.9696
O 0.1310 0.4784 0.7853
O 0.2163 0.6024 0.4126
O 0.2581 0.2581 0.5264
O 0.3390 0.3390 0.1019
O 0.3976 0.7837 0.5874
O 0.4468 0.4468 0.7423
O 0.4784 0.1310 0.7853
O 0.5216 0.8690 0.2147
O 0.5532 0.5532 0.2577
O 0.6024 0.2163 0.4126
O 0.6610 0.6610 0.8981
O 0.7419 0.7419 0.4736
O 0.7837 0.3976 0.5874
O 0.8690 0.5216 0.2147
O 0.8804 0.8804 0.0304
O 0.9427 0.9427 0.7819
CELL_PARAMETERS angstrom
6.7730 -3.4202 0.0000
6.7730 3.4202 0.0000
-3.9316 0.0000 8.0394
```

Calculated values
Total DFT energy (no corrections): -105.83 eV per formula unit
Space group: No. 12

---

Density functional theory data (PBE) for an optimized crystal structure of Y4GaNiN2. Values from VASP.

```
&SYSTEM
  ibrav = 0, nat = 8, ntyp = 4
/
ATOMIC_SPECIES
Y 88.91 Y.upf
Ga 69.72 Ga.upf
Ni 58.69 Ni.upf
N 14.01 N.upf
ATOMIC_POSITIONS crystal
Y 0.0000 0.0000 0.1382
Y 0.0000 0.0000 0.8618
Y 0.6667 0.3333 0.3322
Y 0.6667 0.3333 0.6678
Ga 0.0000 0.0000 0.5000
Ni 0.6667 0.3333 0.0000
N 0.3333 0.6667 0.2405
N 0.3333 0.6667 0.7595
CELL_PARAMETERS angstrom
3.5144 0.0000 0.0000
-1.7572 3.0435 0.0000
0.0000 0.0000 14.1444
```

Calculated values
Total DFT energy (no corrections): -58.45 eV per formula unit
Space group: No. 187

---

Density functional theory data (PBE) for an optimized crystal structure of Ni2HgMo. Values from VASP.

```
&SYSTEM
  ibrav = 0, nat = 4, ntyp = 3
/
ATOMIC_SPECIES
Ni 58.69 Ni.upf
Hg 200.59 Hg.upf
Mo 95.94 Mo.upf
ATOMIC_POSITIONS crystal
Ni 0.0000 0.0000 0.0000
Ni 0.2500 0.2500 0.2500
Hg 0.5000 0.5000 0.5000
Mo 0.7500 0.7500 0.7500
CELL_PARAMETERS angstrom
0.0000 3.0823 3.0823
3.0823 0.0000 3.0823
3.0823 3.0823 0.0000
```

Calculated values
Formation energy from the elements: 0.478 eV/atom
Space group: No. 216

---

Density functional theory data (PBE) for an optimized crystal structure of AlZnSiH6. Values from VASP.

```
&SYSTEM
  ibrav = 0, nat = 9, ntyp = 4
/
ATOMIC_SPECIES
Al 26.98 Al.upf
Zn 65.41 Zn.upf
Si 28.09 Si.upf
H 1.01 H.upf
ATOMIC_POSITIONS crystal
Al 0.0000 0.0000 0.0000
Zn 0.5000 0.5000 0.5000
Si 0.7500 0.7500 0.7500
H 0.5095 0.5095 0.9905
H 0.5095 0.9905 0.5095
H 0.5095 0.9905 0.9905
H 0.9905 0.5095 0.5095
H 0.9905 0.5095 0.9905
H 0.9905 0.9905 0.5095
CELL_PARAMETERS angstrom
0.0000 3.3871 3.3871
3.3871 0.0000 3.3871
3.3871 3.3871 0.0000
```

Calculated values
Total DFT energy (no corrections): -26.52 eV per formula unit
Space group: No. 216

---

Density functional theory data (PBE) for an optimized crystal structure of Tl2Ag2Se3S. Values from VASP.

```
&SYSTEM
  ibrav = 0, nat = 8, ntyp = 4
/
ATOMIC_SPECIES
Tl 204.38 Tl.upf
Ag 107.87 Ag.upf
Se 78.96 Se.upf
S 32.06 S.upf
ATOMIC_POSITIONS crystal
Tl 0.1245 0.1245 0.3784
Tl 0.8755 0.8755 0.6216
Ag 0.3971 0.3654 0.1424
Ag 0.6346 0.6029 0.8576
Se 0.0022 0.4982 0.2361
Se 0.2617 0.7383 0.0000
Se 0.5018 0.9978 0.7639
S 0.7528 0.2472 0.5000
CELL_PARAMETERS angstrom
6.8190 -3.1025 0.0000
6.8190 3.1025 0.0000
-2.7515 0.0000 5.5387
```

Calculated values
Total DFT energy (no corrections): -26.48 eV per formula unit
Space group: No. 5